Sr2Mn2O5: single point on PBEsol structure, meta-GGA SCAN.

Cell: 5.403 5.392 8.607 Å, 108.26 108.30 89.99°
Positions (direct):
1 O 0.744 0.243 0.991
2 Mn 0.700 0.269 0.500
3 O 0.617 0.612 0.500
4 O 0.657 0.121 0.262
5 Sr 0.897 0.888 0.781
6 O 0.748 0.744 0.992
7 O 0.343 0.856 0.737
8 Sr 0.616 0.607 0.219
9 O 0.106 0.619 0.263
10 O 0.256 0.252 0.008
11 O 0.895 0.358 0.738
12 Sr 0.103 0.108 0.219
13 O 0.253 0.752 0.009
14 Mn 0.300 0.770 0.500
15 Mn 0.000 0.496 0.000
16 O 0.382 0.112 0.500
17 Mn 0.500 0.996 0.000
18 Sr 0.384 0.389 0.781

## Properties
Symmetry: Cm (8)
Total magnetic moment in μB/f.u.: 0.55
V in Å³/cell: 224.72
Theoretical density in g cm⁻³: 5.396
Calculated total energy in hartree per atom: -0.5534

=====

Sr3Mn2O7: single point on PBEsol structure, meta-GGA SCAN.

Cell: 3.788 3.788 10.312 Å, 100.58 100.58 90.00°
Positions (direct):
1 O 0.000 0.000 0.000
2 O 0.808 0.808 0.616
3 O 0.595 0.095 0.191
4 Sr 0.683 0.683 0.366
5 O 0.405 0.905 0.809
6 Mn 0.903 0.903 0.806
7 Sr 0.317 0.317 0.634
8 Mn 0.097 0.097 0.194
9 O 0.905 0.405 0.809
10 O 0.095 0.595 0.191
11 O 0.192 0.192 0.384
12 Sr 0.500 0.500 0.000

## Properties
Symmetry: I4/mmm (139)
Total magnetic moment in μB/f.u.: 6.01
V in Å³/cell: 142.88
Theoretical density in g cm⁻³: 5.634
Calculated total energy in hartree per atom: -0.5520

=====

Sr2TaMnO6: single point on PBEsol structure, meta-GGA SCAN.

Cell: 5.481 5.662 5.481 Å, 61.05 90.00 118.95°
Positions (direct):
1 O 0.255 0.000 0.255
2 Mn 0.500 0.000 0.500
3 O 0.255 0.000 0.745
4 O 0.745 0.000 0.255
5 O 0.745 0.000 0.745
6 O 0.761 0.523 0.239
7 O 0.239 0.477 0.761
8 Sr 0.750 0.500 0.750
9 Ta 0.000 0.000 0.000
10 Sr 0.250 0.500 0.250

## Properties
Symmetry: I4/mmm (139)
Total magnetic moment in μB/f.u.: 4.00
V in Å³/cell: 124.00
Theoretical density in g cm⁻³: 6.791
Calculated total energy in hartree per atom: -0.7252

=====

Sr2MnWO: single point on PBEsol structure, meta-GGA SCAN.

Cell: 3.773 5.292 5.292 Å, 90.00 90.00 90.00°
Positions (direct):
1 W 0.500 0.500 0.500
2 Sr 0.000 0.500 0.000
3 Mn 0.500 0.000 0.000
4 Sr 0.000 0.000 0.500
5 O 0.000 0.000 0.000

## Properties
Symmetry: P4/mmm (123)
Total magnetic moment in μB/f.u.: 6.90
V in Å³/cell: 105.67
Theoretical density in g cm⁻³: 6.757
Calculated total energy in hartree per atom: -1.0234

=====

Ta4Mn2Zn3O16: single point on PBEsol structure, meta-GGA SCAN.

Cell: 5.130 5.837 9.906 Å, 75.16 89.31 87.48°
Positions (direct):
1 O 0.051 0.315 0.111
2 O 0.951 0.702 0.887
3 Ta 0.225 0.047 0.234
4 Zn 0.769 0.542 0.559
5 O 0.419 0.724 0.348
6 O 0.080 0.076 0.657
7 Zn 0.284 0.883 0.551
8 Zn 0.236 0.441 0.431
9 Ta 0.762 0.956 0.762
10 O 0.574 0.270 0.655
11 Mn 0.742 0.353 0.004
12 O 0.576 0.562 0.105
13 Ta 0.256 0.278 0.772
14 O 0.918 0.210 0.870
15 O 0.148 0.552 0.614
16 O 0.918 0.927 0.338
17 O 0.082 0.801 0.126
18 Ta 0.746 0.729 0.234
19 O 0.420 0.442 0.894
20 Mn 0.253 0.650 0.000
21 O 0.559 0.042 0.132
22 O 0.634 0.797 0.635
23 O 0.862 0.467 0.382
24 O 0.342 0.156 0.387
25 O 0.434 0.968 0.868

## Properties
Symmetry: P1 (1)
Total magnetic moment in μB/f.u.: 8.00
V in Å³/cell: 286.44
Theoretical density in g cm⁻³: 7.454
Calculated total energy in hartree per atom: -0.7432

=====

MnTcO2: single point on PBEsol structure, meta-GGA SCAN.

Cell: 2.720 2.720 6.445 Å, 77.82 77.82 60.00°
Positions (direct):
1 O 0.107 0.107 0.679
2 O 0.893 0.893 0.321
3 Tc 0.000 0.000 0.000
4 Mn 0.500 0.500 0.500

## Properties
Symmetry: R-3m (166)
Total magnetic moment in μB/f.u.: 2.59
V in Å³/cell: 40.05
Theoretical density in g cm⁻³: 7.668
Calculated total energy in hartree per atom: -0.6533

=====

MnTcO2: single point on PBEsol structure, meta-GGA SCAN.

Cell: 3.773 3.773 3.773 Å, 60.00 60.00 60.00°
Positions (direct):
1 O 0.250 0.250 0.250
2 Tc 0.500 0.500 0.500
3 Mn 0.000 0.000 0.000
4 O 0.750 0.750 0.750

## Properties
Symmetry: Fm-3m (225)
Total magnetic moment in μB/f.u.: 3.73
V in Å³/cell: 37.97
Theoretical density in g cm⁻³: 8.088
Calculated total energy in hartree per atom: -0.6282

=====

Mn3TeO6: single point on PBEsol structure, meta-GGA SCAN.

Cell: 6.216 6.216 6.216 Å, 90.43 90.43 90.43°
Positions (direct):
1 Te 0.500 0.500 0.500
2 Te 0.000 0.000 0.000
3 O 0.700 0.044 0.913
4 Mn 0.748 0.049 0.560
5 O 0.565 0.800 0.429
6 O 0.913 0.700 0.044
7 Mn 0.440 0.252 0.951
8 O 0.044 0.913 0.700
9 Mn 0.049 0.560 0.748
10 O 0.200 0.571 0.435
11 O 0.571 0.435 0.200
12 O 0.435 0.200 0.571
13 Mn 0.560 0.748 0.049
14 O 0.429 0.565 0.800
15 O 0.087 0.300 0.956
16 O 0.300 0.956 0.087
17 Mn 0.951 0.440 0.252
18 Mn 0.252 0.951 0.440
19 O 0.956 0.087 0.300
20 O 0.800 0.429 0.565

## Properties
Symmetry: R-3 (148)
Total magnetic moment in μB/f.u.: 15.00
V in Å³/cell: 240.18
Theoretical density in g cm⁻³: 5.371
Calculated total energy in hartree per atom: -0.5394

=====

MnTe2O5: single point on PBEsol structure, meta-GGA SCAN.

Cell: 8.684 8.684 12.929 Å, 90.00 90.00 90.00°
Positions (direct):
1 O 0.694 0.194 0.500
2 Te 0.817 0.210 0.634
3 O 0.194 0.694 0.000
4 O 0.377 0.772 0.703
5 O 0.806 0.694 0.500
6 Mn 0.500 0.000 0.750
7 Mn 0.000 0.500 0.500
8 O 0.806 0.306 0.000
9 Te 0.790 0.183 0.134
10 O 0.148 0.425 0.884
11 Te 0.710 0.683 0.134
12 Te 0.817 0.790 0.866
13 O 0.772 0.377 0.203
14 O 0.728 0.123 0.297
15 O 0.194 0.306 0.500
16 O 0.272 0.123 0.203
17 O 0.772 0.623 0.297
18 Te 0.210 0.817 0.134
19 O 0.648 0.075 0.884
20 O 0.575 0.852 0.384
21 O 0.228 0.377 0.297
22 O 0.377 0.228 0.797
23 O 0.575 0.148 0.116
24 O 0.623 0.228 0.703
25 O 0.425 0.852 0.116
26 Mn 0.500 0.000 0.500
27 Te 0.183 0.790 0.634
28 O 0.272 0.877 0.297
29 Te 0.183 0.210 0.866
30 Te 0.683 0.710 0.634
31 O 0.075 0.352 0.116
32 Mn 0.000 0.500 0.000
33 Te 0.317 0.290 0.634
34 O 0.648 0.925 0.616
35 O 0.123 0.728 0.797
36 O 0.852 0.425 0.616
37 Te 0.290 0.317 0.134
38 Te 0.290 0.683 0.366
39 Mn 0.500 0.000 0.000
40 O 0.623 0.772 0.797
41 O 0.877 0.272 0.797
42 Mn 0.000 0.500 0.250
43 Te 0.317 0.710 0.866
44 Mn 0.500 0.000 0.250
45 O 0.852 0.575 0.884
46 O 0.694 0.806 0.000
47 O 0.228 0.623 0.203
48 O 0.728 0.877 0.203
49 O 0.925 0.648 0.116
50 Mn 0.000 0.500 0.750
51 O 0.075 0.648 0.384
52 Te 0.710 0.317 0.366
53 Te 0.790 0.817 0.366
54 O 0.425 0.148 0.384
55 O 0.306 0.806 0.500
56 Te 0.683 0.290 0.866
57 Te 0.210 0.183 0.366
58 O 0.352 0.925 0.884
59 O 0.148 0.575 0.616
60 O 0.925 0.352 0.384
61 O 0.352 0.075 0.616
62 O 0.123 0.272 0.703
63 O 0.306 0.194 0.000
64 O 0.877 0.728 0.703

## Properties
Symmetry: P4_2/nbc (133)
Total magnetic moment in μB/f.u.: 5.00
V in Å³/cell: 974.95
Theoretical density in g cm⁻³: 5.316
Calculated total energy in hartree per atom: -0.6199

=====

MnTe6O13: single point on PBEsol structure, meta-GGA SCAN.

Cell: 8.638 8.638 8.638 Å, 71.81 71.81 71.81°
Positions (direct):
1 O 0.199 0.702 0.452
2 O 0.126 0.203 0.884
3 Te 0.433 0.834 0.515
4 O 0.614 0.863 0.958
5 O 0.884 0.126 0.203
6 O 0.702 0.452 0.199
7 Te 0.567 0.166 0.485
8 O 0.396 0.104 0.423
9 O 0.203 0.884 0.126
10 Te 0.834 0.515 0.433
11 Mn 0.755 0.755 0.755
12 Te 0.485 0.567 0.166
13 Te 0.166 0.485 0.567
14 O 0.413 0.413 0.413
15 O 0.548 0.801 0.298
16 O 0.577 0.604 0.896
17 O 0.587 0.587 0.587
18 O 0.423 0.396 0.104
19 Te 0.515 0.433 0.834
20 O 0.874 0.797 0.116
21 O 0.386 0.137 0.042
22 O 0.137 0.042 0.386
23 O 0.604 0.896 0.577
24 O 0.797 0.116 0.874
25 Te 0.328 0.028 0.916
26 Te 0.916 0.328 0.028
27 O 0.958 0.614 0.863
28 Te 0.028 0.916 0.328
29 O 0.863 0.958 0.614
30 O 0.896 0.577 0.604
31 Te 0.672 0.972 0.084
32 Mn 0.245 0.245 0.245
33 Te 0.084 0.672 0.972
34 O 0.042 0.386 0.137
35 O 0.104 0.423 0.396
36 Te 0.972 0.084 0.672
37 O 0.452 0.199 0.702
38 O 0.801 0.298 0.548
39 O 0.298 0.548 0.801
40 O 0.116 0.874 0.797

## Properties
Symmetry: R-3 (148)
Total magnetic moment in μB/f.u.: 5.00
V in Å³/cell: 564.95
Theoretical density in g cm⁻³: 6.046
Calculated total energy in hartree per atom: -0.6376

=====

MnTe2O5: single point on PBEsol structure, meta-GGA SCAN.

Cell: 5.996 7.367 10.771 Å, 90.00 90.00 90.00°
Positions (direct):
1 O 0.300 0.193 0.212
2 O 0.046 0.654 0.440
3 O 0.046 0.846 0.940
4 Te 0.509 0.631 0.153
5 Mn 0.750 0.000 0.940
6 O 0.800 0.193 0.788
7 O 0.954 0.346 0.560
8 O 0.250 0.000 0.446
9 Te 0.491 0.131 0.347
10 Te 0.491 0.369 0.847
11 Mn 0.250 0.500 0.560
12 O 0.300 0.307 0.712
13 Te 0.991 0.369 0.153
14 O 0.250 0.500 0.946
15 O 0.750 0.500 0.054
16 Te 0.991 0.131 0.653
17 O 0.700 0.807 0.788
18 O 0.200 0.807 0.212
19 O 0.750 0.000 0.554
20 O 0.200 0.693 0.712
21 O 0.700 0.693 0.288
22 O 0.454 0.346 0.440
23 Mn 0.750 0.500 0.440
24 O 0.954 0.154 0.060
25 O 0.800 0.307 0.288
26 Te 0.009 0.631 0.847
27 O 0.546 0.846 0.060
28 O 0.546 0.654 0.560
29 Mn 0.250 0.000 0.060
30 O 0.454 0.154 0.940
31 Te 0.009 0.869 0.347
32 Te 0.509 0.869 0.653

## Properties
Symmetry: Pbcn (60)
Total magnetic moment in μB/f.u.: 5.00
V in Å³/cell: 475.80
Theoretical density in g cm⁻³: 5.446
Calculated total energy in hartree per atom: -0.6196

=====

Mn3TeO6: single point on PBEsol structure, meta-GGA SCAN.

Cell: 5.102 5.235 8.484 Å, 90.00 87.47 90.00°
Positions (direct):
1 O 0.277 0.194 0.893
2 Mn 0.481 0.945 0.730
3 Mn 0.019 0.445 0.770
4 Mn 0.500 0.500 0.500
5 O 0.174 0.878 0.272
6 Mn 0.981 0.555 0.230
7 Te 0.000 0.000 0.500
8 O 0.826 0.122 0.728
9 O 0.326 0.378 0.228
10 O 0.334 0.202 0.575
11 Te 0.500 0.500 0.000
12 O 0.666 0.798 0.425
13 Mn 0.000 0.000 0.000
14 O 0.834 0.298 0.075
15 O 0.166 0.702 0.925
16 O 0.777 0.306 0.393
17 Mn 0.519 0.055 0.270
18 O 0.723 0.806 0.107
19 O 0.223 0.694 0.607
20 O 0.674 0.622 0.772

## Properties
Symmetry: P2_1/c (14)
Total magnetic moment in μB/f.u.: 13.00
V in Å³/cell: 226.40
Theoretical density in g cm⁻³: 5.698
Calculated total energy in hartree per atom: -0.5368

=====

- calculated total energy of number 2 (Sr3Mn2O7)?
  -0.5520 hartree per atom

=====

Repeat the ninth record exactly.
MnTe2O5: single point on PBEsol structure, meta-GGA SCAN.

Cell: 8.684 8.684 12.929 Å, 90.00 90.00 90.00°
Positions (direct):
1 O 0.694 0.194 0.500
2 Te 0.817 0.210 0.634
3 O 0.194 0.694 0.000
4 O 0.377 0.772 0.703
5 O 0.806 0.694 0.500
6 Mn 0.500 0.000 0.750
7 Mn 0.000 0.500 0.500
8 O 0.806 0.306 0.000
9 Te 0.790 0.183 0.134
10 O 0.148 0.425 0.884
11 Te 0.710 0.683 0.134
12 Te 0.817 0.790 0.866
13 O 0.772 0.377 0.203
14 O 0.728 0.123 0.297
15 O 0.194 0.306 0.500
16 O 0.272 0.123 0.203
17 O 0.772 0.623 0.297
18 Te 0.210 0.817 0.134
19 O 0.648 0.075 0.884
20 O 0.575 0.852 0.384
21 O 0.228 0.377 0.297
22 O 0.377 0.228 0.797
23 O 0.575 0.148 0.116
24 O 0.623 0.228 0.703
25 O 0.425 0.852 0.116
26 Mn 0.500 0.000 0.500
27 Te 0.183 0.790 0.634
28 O 0.272 0.877 0.297
29 Te 0.183 0.210 0.866
30 Te 0.683 0.710 0.634
31 O 0.075 0.352 0.116
32 Mn 0.000 0.500 0.000
33 Te 0.317 0.290 0.634
34 O 0.648 0.925 0.616
35 O 0.123 0.728 0.797
36 O 0.852 0.425 0.616
37 Te 0.290 0.317 0.134
38 Te 0.290 0.683 0.366
39 Mn 0.500 0.000 0.000
40 O 0.623 0.772 0.797
41 O 0.877 0.272 0.797
42 Mn 0.000 0.500 0.250
43 Te 0.317 0.710 0.866
44 Mn 0.500 0.000 0.250
45 O 0.852 0.575 0.884
46 O 0.694 0.806 0.000
47 O 0.228 0.623 0.203
48 O 0.728 0.877 0.203
49 O 0.925 0.648 0.116
50 Mn 0.000 0.500 0.750
51 O 0.075 0.648 0.384
52 Te 0.710 0.317 0.366
53 Te 0.790 0.817 0.366
54 O 0.425 0.148 0.384
55 O 0.306 0.806 0.500
56 Te 0.683 0.290 0.866
57 Te 0.210 0.183 0.366
58 O 0.352 0.925 0.884
59 O 0.148 0.575 0.616
60 O 0.925 0.352 0.384
61 O 0.352 0.075 0.616
62 O 0.123 0.272 0.703
63 O 0.306 0.194 0.000
64 O 0.877 0.728 0.703

## Properties
Symmetry: P4_2/nbc (133)
Total magnetic moment in μB/f.u.: 5.00
V in Å³/cell: 974.95
Theoretical density in g cm⁻³: 5.316
Calculated total energy in hartree per atom: -0.6199

=====

- Which of these has the highest calculated total energy?
  number 12

=====

- The highest V belongs to which entry?
  number 9